{
  "formula": "YTiPdAu",
  "functional": "PBE-GGA",
  "state": "optimized geometry",
  "lattice_angstrom": [[6.8167, 0.0000, 0.0000], [0.0000, 6.8167, 0.0000], [0.0000, 0.0000, 6.8167]],
  "species": ["Y", "Y", "Y", "Y", "Ti", "Ti", "Ti", "Ti", "Pd", "Pd", "Pd", "Pd", "Au", "Au", "Au", "Au"],
  "frac_coords": [[0.0000, 0.0000, 0.0000], [0.0000, 0.5000, 0.5000], [0.5000, 0.0000, 0.5000], [0.5000, 0.5000, 0.0000], [0.0000, 0.0000, 0.5000], [0.0000, 0.5000, 0.0000], [0.5000, 0.0000, 0.0000], [0.5000, 0.5000, 0.5000], [0.2500, 0.2500, 0.2500], [0.2500, 0.7500, 0.7500], [0.7500, 0.2500, 0.7500], [0.7500, 0.7500, 0.2500], [0.2500, 0.2500, 0.7500], [0.2500, 0.7500, 0.2500], [0.7500, 0.2500, 0.2500], [0.7500, 0.7500, 0.7500]],
  "dft_energy_ev_per_atom": -6.23,
  "dos_at_fermi_per_ev_fu": 4.99,
  "formation_energy_ev_per_atom": -0.5179
}


{
  "formula": "Sr3AlBr",
  "functional": "PBE-GGA",
  "state": "optimized geometry",
  "lattice_angstrom": [[6.2833, 0.0000, 0.0000], [0.0000, 6.2833, 0.0000], [0.0000, 0.0000, 6.2833]],
  "species": ["Sr", "Sr", "Sr", "Al", "Br"],
  "frac_coords": [[0.0000, 0.0000, 0.5000], [0.0000, 0.5000, 0.0000], [0.5000, 0.0000, 0.0000], [0.0000, 0.0000, 0.0000], [0.5000, 0.5000, 0.5000]],
  "dft_energy_ev_per_atom": -2.40,
  "e_form_raw_ev_per_atom": -0.31,
  "dos_at_fermi_per_ev_fu": 1.50,
  "polymorph_energy_ev_per_atom": 0.000
}